# 1
Below is a geometry-optimized KLaNO2 structure, with properties calculated at the PBE level.

a b c (Å): 4.574 4.574 5.167
angles (deg): 90.00 90.00 90.00
Space group P4/mmm (No. 123)
Inequivalent atoms, fractional coordinates:
K1 0.000 0.000 0.000 (multiplicity 1)
La1 0.500 0.500 0.500 (multiplicity 1)
N1 0.500 0.500 0.000 (multiplicity 1)
O1 0.000 0.500 0.500 (multiplicity 2)

Computed properties:
Raw formation energy (eV per atom): -0.9534

=====

# 2
Below is a geometry-optimized KLaOs2N structure, with properties calculated at the PBE level.

a b c (Å): 4.125 4.125 5.115
angles (deg): 90.00 90.00 90.00
Space group P4/mmm (No. 123)
Inequivalent atoms, fractional coordinates:
K1 0.000 0.000 0.000 (multiplicity 1)
La1 0.500 0.500 0.000 (multiplicity 1)
Os1 0.000 0.500 0.500 (multiplicity 2)
N1 0.000 0.000 0.500 (multiplicity 1)

Computed properties:
Raw formation energy (eV per atom): 0.5863

=====

# 3
Below is a geometry-optimized KLa2P2N6 structure, with properties calculated at the PBE level.

a b c (Å): 6.101 6.431 6.665
angles (deg): 98.66 114.72 110.49
Space group P-1 (No. 2)
Inequivalent atoms, fractional coordinates:
K1 0.000 0.000 0.000 (multiplicity 1)
La1 0.375 0.291 0.672 (multiplicity 2)
P1 0.291 0.740 0.721 (multiplicity 2)
N1 0.119 0.878 0.650 (multiplicity 2)
N2 0.300 0.606 0.904 (multiplicity 2)
N3 0.467 0.715 0.607 (multiplicity 2)

Computed properties:
Raw formation energy (eV per atom): -0.7316

=====

# 4
Below is a geometry-optimized KLa2Re2N6 structure, with properties calculated at the PBE level.

a b c (Å): 6.283 6.838 6.901
angles (deg): 98.07 115.46 112.69
Space group P-1 (No. 2)
Inequivalent atoms, fractional coordinates:
K1 0.000 0.000 0.000 (multiplicity 1)
La1 0.369 0.274 0.672 (multiplicity 2)
Re1 0.221 0.682 0.668 (multiplicity 2)
N1 0.126 0.908 0.667 (multiplicity 2)
N2 0.285 0.587 0.906 (multiplicity 2)
N3 0.473 0.722 0.594 (multiplicity 2)

Computed properties:
Raw formation energy (eV per atom): -0.6240

=====

Number 1: total DFT energy (no corrections) -5.8067 eV/atom, N(E_F) 2.5 states/eV/f.u.. Number 2: total DFT energy (no corrections) -6.7756 eV/atom, N(E_F) 3.3 states/eV/f.u.. Number 3: total DFT energy (no corrections) -7.2520 eV/atom, N(E_F) 3.4 states/eV/f.u.. Number 4: total DFT energy (no corrections) -8.4241 eV/atom, N(E_F) 3.1 states/eV/f.u..